No. 1
A plane-wave DFT calculation with PBE was carried out for an optimized crystal structure of MgSiS.

Volume (Å³ per atom): 18.541
Theoretical density (kg/m3): 2521
Size of the total moment (μB/cell): 0.00
VASP energy (Ry/atom): -0.286

Cell lengths 10.886, 3.368, 6.068 Å; angles 90.00, 90.00, 90.00 degrees
Space group Amm2 (No. 38)
Inequivalent atoms, fractional coordinates:
Mg (0.188, 0.000, 0.000) x4
Si (0.000, 0.000, 0.324) x2
Si (0.500, 0.000, 0.969) x2
S (0.344, 0.000, 0.327) x4

=====

No. 2
A plane-wave DFT calculation with PBE was carried out for an optimized crystal structure of Mg4SiS6.

Volume (Å³ per atom): 21.950
Theoretical density (kg/m3): 2185
Size of the total moment (μB/cell): 0.00
VASP energy (Ry/atom): -0.333

Cell lengths 12.166, 6.931, 12.249 Å; angles 90.00, 110.76, 90.00 degrees
Space group Cc (No. 9)
Inequivalent atoms, fractional coordinates:
Mg (0.000, 0.084, 0.000) x4
Mg (0.134, 0.311, 0.348) x4
Mg (0.321, 0.385, 0.692) x4
Mg (0.349, 0.109, 0.005) x4
Si (0.070, 0.222, 0.754) x4
S (0.117, 0.471, 0.678) x4
S (0.138, 0.032, 0.206) x4
S (0.144, 0.267, 0.938) x4
S (0.324, 0.244, 0.508) x4
S (0.384, 0.270, 0.197) x4
S (0.451, 0.276, 0.887) x4